A plane-wave DFT calculation with PBE was carried out for an optimized crystal structure of TiPCO2.

Summary:
As for the formation energy without anion corrections: 0.2861 eV/atom. For the polymorph energy (0 for the lowest one), the calculation gives 306 meV per atom. The raw total energy comes out at -6.203 eV/atom. The density is 4073 kg/m³.

a b c (Å): 3.6224 3.6224 3.8173
angles (deg): 90.00 90.00 90.00
Positions (direct):
C 0.0000 0.0000 0.0000
O 0.5000 0.0000 0.0000
O 0.0000 0.5000 0.0000
Ti 0.5000 0.5000 0.5000
P 0.0000 0.0000 0.5000


A plane-wave DFT calculation with PBE was carried out for an optimized crystal structure of TlPCO2.

Summary:
As for the formation energy without anion corrections: 1.8985 eV/atom. For the polymorph energy (0 for the lowest one), the calculation gives 951 meV per atom. The raw total energy comes out at -3.485 eV/atom. The density is 4306 kg/m³.

a b c (Å): 3.9321 3.9321 6.9678
angles (deg): 90.00 90.00 90.00
Each line ends with the local moment (μB).
Positions (direct):
Tl 0.0000 0.0000 0.0000  0.00
O 0.0000 0.5000 0.0000  0.18
O 0.5000 0.0000 0.0000  0.18
P 0.0000 0.0000 0.5000  0.37
C 0.5000 0.5000 0.5000  -0.36


A plane-wave DFT calculation with PBE was carried out for an optimized crystal structure of TlPCO2.

Summary:
As for the formation energy without anion corrections: 0.9472 eV/atom. For the polymorph energy (0 for the lowest one), the calculation gives 0 meV per atom. The raw total energy comes out at -4.436 eV/atom. The density is 7947 kg/m³.

a b c (Å): 3.8185 3.8185 4.0033
angles (deg): 90.00 90.00 90.00
Positions (direct):
O 0.0000 0.5000 0.0000
O 0.5000 0.0000 0.0000
Tl 0.5000 0.5000 0.5000
P 0.0000 0.0000 0.5000
C 0.0000 0.0000 0.0000


- What is the polymorph energy (0 for the lowest one) in the second record?
  951 meV per atom